FeNiGeW: relaxed, PBE.

crystal system: cubic
E: -7.737 eV/atom
spin magnetization: 0.02 μB/cell

```
4
Lattice="0.0000 2.9490 2.9490 2.9490 0.0000 2.9490 2.9490 2.9490 0.0000" Properties=species:S:1:pos:R:3 pbc="T T T"
Fe 0.0000 0.0000 0.0000
Ni 2.9490 2.9490 2.9490
Ge 4.4235 4.4235 4.4235
W 1.4745 1.4745 1.4745
```